# 1
Material: K3Sc3TaSe8
Method: DFT, PBE
State: relaxed Values from VASP.

The structure in Quantum ESPRESSO input format:
```
&SYSTEM
  ibrav = 0, nat = 15, ntyp = 4
/
ATOMIC_SPECIES
Se 78.96 Se.upf
K 39.10 K.upf
Sc 44.96 Sc.upf
Ta 180.95 Ta.upf
CELL_PARAMETERS angstrom
7.784 0.000 0.000
-3.892 6.745 -0.028
-0.001 -4.466 7.853
ATOMIC_POSITIONS crystal
Se 0.732 0.464 0.696
Se 0.774 0.034 0.308
Se 0.260 0.034 0.308
Se 0.226 0.453 0.692
Se 0.268 0.536 0.304
Se 0.774 0.547 0.308
Se 0.226 0.966 0.692
Se 0.740 0.966 0.692
K 0.000 0.000 0.000
K 0.500 0.500 0.000
K 0.000 0.500 0.000
Sc 0.000 0.500 0.500
Sc 0.500 0.500 0.500
Sc 0.500 0.000 0.500
Ta 0.000 0.000 0.500
```

Results
density of states at the Fermi level: 4.03 states/eV per cell
crystal system: trigonal
formation energy (no corrections): -137.35 kJ per mole of atoms

# 2
Material: KTb2Sc3Se6
Method: DFT, PBE
State: relaxed Values from VASP.

The structure in Quantum ESPRESSO input format:
```
&SYSTEM
  ibrav = 0, nat = 12, ntyp = 4
/
ATOMIC_SPECIES
Sc 44.96 Sc.upf
Se 78.96 Se.upf
K 39.10 K.upf
Tb 158.93 Tb.upf
CELL_PARAMETERS angstrom
-3.049 -0.755 -2.440
-0.284 -7.758 2.755
-3.894 4.798 6.626
ATOMIC_POSITIONS crystal
Sc 0.164 0.818 0.328
Sc 0.500 0.500 0.000
Sc 0.836 0.182 0.672
Se 0.998 0.275 0.997
Se 0.338 0.409 0.676
Se 0.662 0.591 0.324
Se 0.002 0.725 0.003
Se 0.323 0.923 0.646
Se 0.677 0.077 0.354
K 0.500 0.000 0.000
Tb 0.831 0.658 0.661
Tb 0.169 0.342 0.339
```

Results
density of states at the Fermi level: 4.79 states/eV per cell
crystal system: monoclinic
formation energy (no corrections): -157.34 kJ per mole of atoms

# 3
Material: KTbSc4Se8
Method: DFT, PBE
State: relaxed Values from VASP.

The structure in Quantum ESPRESSO input format:
```
&SYSTEM
  ibrav = 0, nat = 14, ntyp = 4
/
ATOMIC_SPECIES
Se 78.96 Se.upf
Sc 44.96 Sc.upf
Tb 158.93 Tb.upf
K 39.10 K.upf
CELL_PARAMETERS angstrom
8.151 0.000 0.000
4.075 7.059 0.000
4.075 2.353 6.946
ATOMIC_POSITIONS crystal
Se 0.245 0.795 0.716
Se 0.795 0.245 0.716
Se 0.752 0.752 0.261
Se 0.757 0.757 0.729
Se 0.752 0.235 0.261
Se 0.229 0.229 0.313
Se 0.245 0.245 0.716
Se 0.235 0.752 0.261
Sc 0.004 0.004 0.507
Sc 0.004 0.484 0.507
Sc 0.484 0.004 0.507
Sc 0.627 0.627 0.119
Tb 0.005 0.005 0.985
K 0.366 0.366 0.903
```

Results
density of states at the Fermi level: 0.00 states/eV per cell
crystal system: trigonal
formation energy (no corrections): -153.11 kJ per mole of atoms

# 4
Material: K3Tb3ScSe8
Method: DFT, PBE
State: relaxed Values from VASP.

The structure in Quantum ESPRESSO input format:
```
&SYSTEM
  ibrav = 0, nat = 15, ntyp = 4
/
ATOMIC_SPECIES
Se 78.96 Se.upf
Sc 44.96 Sc.upf
K 39.10 K.upf
Tb 158.93 Tb.upf
CELL_PARAMETERS angstrom
8.233 0.000 0.000
-4.116 7.134 -0.031
0.000 -4.725 7.905
ATOMIC_POSITIONS crystal
Se 0.226 0.972 0.698
Se 0.254 0.028 0.302
Se 0.746 0.972 0.698
Se 0.774 0.548 0.302
Se 0.264 0.529 0.293
Se 0.774 0.028 0.302
Se 0.226 0.452 0.698
Se 0.736 0.471 0.707
Sc 0.000 0.000 0.500
K 0.000 0.500 0.000
K 0.000 0.000 0.000
K 0.500 0.500 0.000
Tb 0.500 0.000 0.500
Tb 0.500 0.500 0.500
Tb 0.000 0.500 0.500
```

Results
density of states at the Fermi level: 8.58 states/eV per cell
crystal system: trigonal
formation energy (no corrections): -158.91 kJ per mole of atoms

# 5
Material: K3TbSc2Se6
Method: DFT, PBE
State: relaxed Values from VASP.

The structure in Quantum ESPRESSO input format:
```
&SYSTEM
  ibrav = 0, nat = 12, ntyp = 4
/
ATOMIC_SPECIES
K 39.10 K.upf
Se 78.96 Se.upf
Tb 158.93 Tb.upf
Sc 44.96 Sc.upf
CELL_PARAMETERS angstrom
-6.430 -2.962 0.023
4.364 -1.055 -5.473
3.549 -4.838 5.291
ATOMIC_POSITIONS crystal
K 0.500 0.500 0.500
K 0.836 0.164 0.500
K 0.164 0.836 0.500
Se 0.280 0.280 0.802
Se 0.587 0.934 0.801
Se 0.934 0.587 0.801
Se 0.066 0.413 0.199
Se 0.413 0.066 0.199
Se 0.720 0.720 0.198
Tb 0.000 0.000 0.000
Sc 0.333 0.667 0.000
Sc 0.667 0.333 0.000
```

Results
density of states at the Fermi level: 0.00 states/eV per cell
crystal system: monoclinic
formation energy (no corrections): -160.57 kJ per mole of atoms

# 6
Material: K2ScTeSe4
Method: DFT, PBE
State: relaxed Values from VASP.

The structure in Quantum ESPRESSO input format:
```
&SYSTEM
  ibrav = 0, nat = 16, ntyp = 4
/
ATOMIC_SPECIES
K 39.10 K.upf
Se 78.96 Se.upf
Te 127.60 Te.upf
Sc 44.96 Sc.upf
CELL_PARAMETERS angstrom
8.453 -0.004 0.298
-0.010 8.453 0.298
-3.901 -3.903 6.197
ATOMIC_POSITIONS crystal
K 0.500 0.000 0.000
K 0.000 0.000 0.500
K 0.500 0.000 0.500
K 0.500 0.500 0.000
Se 0.205 0.249 0.990
Se 0.783 0.312 0.566
Se 0.217 0.688 0.434
Se 0.188 0.717 0.934
Se 0.749 0.705 0.490
Se 0.795 0.751 0.010
Se 0.251 0.295 0.510
Se 0.812 0.283 0.066
Te 0.000 0.000 0.000
Te 0.500 0.500 0.500
Sc 0.000 0.500 0.500
Sc 0.000 0.500 0.000
```

Results
density of states at the Fermi level: 2.99 states/eV per cell
crystal system: monoclinic
formation energy (no corrections): -96.23 kJ per mole of atoms

# 7
Material: K2Sc2Te2Se
Method: DFT, PBE
State: relaxed Values from VASP.

The structure in Quantum ESPRESSO input format:
```
&SYSTEM
  ibrav = 0, nat = 7, ntyp = 4
/
ATOMIC_SPECIES
Se 78.96 Se.upf
Sc 44.96 Sc.upf
K 39.10 K.upf
Te 127.60 Te.upf
CELL_PARAMETERS angstrom
5.115 0.000 0.000
0.000 5.115 0.000
-2.558 -2.558 8.726
ATOMIC_POSITIONS crystal
Se 0.000 0.000 0.000
Sc 0.000 0.500 0.000
Sc 0.500 0.000 0.000
K 0.183 0.183 0.365
K 0.817 0.817 0.635
Te 0.389 0.389 0.778
Te 0.611 0.611 0.222
```

Results
density of states at the Fermi level: 4.48 states/eV per cell
crystal system: tetragonal
formation energy (no corrections): -106.31 kJ per mole of atoms

# 8
Material: KScTe2Se
Method: DFT, PBE
State: relaxed Values from VASP.

The structure in Quantum ESPRESSO input format:
```
&SYSTEM
  ibrav = 0, nat = 5, ntyp = 4
/
ATOMIC_SPECIES
Te 127.60 Te.upf
K 39.10 K.upf
Se 78.96 Se.upf
Sc 44.96 Sc.upf
CELL_PARAMETERS angstrom
5.389 0.000 0.000
0.000 10.993 0.000
0.000 0.000 5.389
ATOMIC_POSITIONS crystal
Te 0.500 0.000 0.000
Te 0.000 0.000 0.500
K 0.000 0.500 0.000
Se 0.500 0.500 0.500
Sc 0.000 0.000 0.000
```

Results
density of states at the Fermi level: 3.13 states/eV per cell
crystal system: tetragonal
formation energy (no corrections): -25.42 kJ per mole of atoms

# 9
Material: K4Th3ScSe8
Method: DFT, PBE
State: relaxed Values from VASP.

The structure in Quantum ESPRESSO input format:
```
&SYSTEM
  ibrav = 0, nat = 16, ntyp = 4
/
ATOMIC_SPECIES
K 39.10 K.upf
Th 232.04 Th.upf
Se 78.96 Se.upf
Sc 44.96 Sc.upf
CELL_PARAMETERS angstrom
8.378 0.000 0.000
0.000 9.187 0.560
-4.189 -4.184 5.928
ATOMIC_POSITIONS crystal
K 0.000 0.000 0.000
K 0.500 0.000 0.500
K 0.000 0.000 0.500
K 0.500 0.000 0.000
Th 0.500 0.500 0.000
Th 0.500 0.500 0.500
Th 0.000 0.500 0.500
Se 0.229 0.709 0.458
Se 0.771 0.291 0.020
Se 0.249 0.291 0.020
Se 0.229 0.709 0.980
Se 0.751 0.709 0.980
Se 0.259 0.277 0.518
Se 0.771 0.291 0.542
Se 0.741 0.723 0.482
Sc 0.000 0.500 0.000
```

Results
density of states at the Fermi level: 10.64 states/eV per cell
crystal system: trigonal
formation energy (no corrections): -149.88 kJ per mole of atoms

# 10
Material: K3Th3ScSe8
Method: DFT, PBE
State: relaxed Values from VASP.

The structure in Quantum ESPRESSO input format:
```
&SYSTEM
  ibrav = 0, nat = 15, ntyp = 4
/
ATOMIC_SPECIES
Th 232.04 Th.upf
Sc 44.96 Sc.upf
Se 78.96 Se.upf
K 39.10 K.upf
CELL_PARAMETERS angstrom
8.359 0.000 0.000
-4.179 7.236 -0.028
0.000 -4.794 7.971
ATOMIC_POSITIONS crystal
Th 0.500 0.000 0.500
Th 0.500 0.500 0.500
Th 0.000 0.500 0.500
Sc 0.000 0.000 0.500
Se 0.260 0.519 0.279
Se 0.250 0.025 0.299
Se 0.225 0.451 0.701
Se 0.775 0.025 0.299
Se 0.750 0.975 0.701
Se 0.740 0.481 0.721
Se 0.225 0.975 0.701
Se 0.775 0.549 0.299
K 0.000 0.000 0.000
K 0.000 0.500 0.000
K 0.500 0.500 0.000
```

Results
density of states at the Fermi level: 9.19 states/eV per cell
crystal system: trigonal
formation energy (no corrections): -154.64 kJ per mole of atoms